# CoS8F2

Crystalline CoS8F2 at its relaxed geometry (PBE with a Hubbard U, Alexandria).

Cell: 5.489 5.695 10.565 Å, 97.90 90.07 118.09°
Element x y z (fractional)
Co 0.000 0.000 0.000
S 0.110 0.928 0.524
S 0.186 0.380 0.917
S 0.243 0.210 0.185
S 0.466 0.601 0.151
S 0.534 0.399 0.849
S 0.757 0.790 0.815
S 0.814 0.620 0.083
S 0.890 0.072 0.476
F 0.249 0.722 0.440
F 0.751 0.278 0.560

Properties
Density of states at the Fermi level = 1.549 states/eV/cell
Calculated density = 2039 kg/m³
DFT total energy = -43.67 eV per cell